Compound: NaLa2BiRu
Source: Alexandria
Functional: PBE-GGA
Structure: relaxed

```
5
Lattice="5.328 0.000 0.000 0.000 5.328 0.000 0.000 0.000 5.340" Properties=species:S:1:pos:R:3 pbc="T T T"
La 0.000 2.664 0.000
La 2.664 0.000 0.000
Bi 2.664 2.664 2.670
Na 0.000 0.000 2.670
Ru 0.000 0.000 0.000
```

Formation energy: -0.282 eV/atom
DOS at the Fermi energy: 1.66 states/eV per cell
Total magnetization: 0.0 μB per cell
Uncorrected energy: -25.74 eV per cell